Here is crystalline SmNbNO at its relaxed geometry from the Open Quantum Materials Database. Energies are from GGA-PBE.

```
data_SmNbNO
_chemical_formula_sum 'Sm1 Nb1 N1 O1'
_space_group_name_H-M_alt 'P 4/m m m'
_space_group_IT_number 123
_space_group_name_Hall '-P 4 2'
_cell_length_a 3.403
_cell_length_b 3.403
_cell_length_c 4.586
_cell_angle_alpha 90.00
_cell_angle_beta 90.00
_cell_angle_gamma 90.00
loop_
_atom_site_label
_atom_site_type_symbol
_atom_site_fract_x
_atom_site_fract_y
_atom_site_fract_z
Sm1 Sm 0.000 0.000 0.000
Nb1 Nb 0.500 0.500 0.500
N1 N 0.500 0.500 0.000
O1 O 0.000 0.000 0.500
```

**VASP energy**: -8.425 eV per atom
**Crystal system**: tetragonal
**Energy above the most stable polymorph in this dataset**: 295 meV per atom